(1)
# Tb3Pr7In (PBE-GGA, relaxed)
# * M_tot: 0.00 μB per atom
# * formation energy: 0.096 eV/atom
# * space group: P3m1
data_Tb3Pr7In
_space_group_name_H-M_alt 'P 1'
_space_group_IT_number 1
_cell_length_a 7.163
_cell_length_b 7.163
_cell_length_c 8.690
_cell_angle_alpha 90.00
_cell_angle_beta 90.00
_cell_angle_gamma 120.00
loop_
_space_group_symop_operation_xyz
'x,y,z'
loop_
_atom_site_label
_atom_site_fract_x
_atom_site_fract_y
_atom_site_fract_z
Tb1 0.000 0.500 0.000
Tb2 0.500 0.000 0.000
Tb3 0.500 0.500 0.000
Pr1 0.169 0.338 0.662
Pr2 0.169 0.831 0.662
Pr3 0.337 0.168 0.328
Pr4 0.662 0.831 0.662
Pr5 0.667 0.333 0.670
Pr6 0.832 0.168 0.328
Pr7 0.832 0.663 0.328
In1 0.333 0.667 0.319



(2)
# ScIn2Mo (PBE-GGA, relaxed)
# * M_tot: 0.00 μB per atom
# * energy above the most stable polymorph in this dataset: 11.9 kJ per mole of atoms
# * formation energy: 0.067 eV/atom
# * space group: Pm
data_ScIn2Mo
_space_group_name_H-M_alt 'P 1'
_space_group_IT_number 1
_cell_length_a 3.058
_cell_length_b 4.959
_cell_length_c 5.299
_cell_angle_alpha 90.00
_cell_angle_beta 92.39
_cell_angle_gamma 90.00
loop_
_space_group_symop_operation_xyz
'x,y,z'
loop_
_atom_site_label
_atom_site_fract_x
_atom_site_fract_y
_atom_site_fract_z
Sc1 0.000 0.000 0.000
In1 0.523 0.000 0.517
In2 0.550 0.500 0.199
Mo1 0.105 0.500 0.712



(3)
# TaFeOs2 (PBE-GGA, relaxed)
# * M_tot: 0.61 μB per atom
# * formation energy: 0.161 eV/atom
# * space group: R-3m
data_TaFeOs2
_space_group_name_H-M_alt 'P 1'
_space_group_IT_number 1
_cell_length_a 9.107
_cell_length_b 9.107
_cell_length_c 9.107
_cell_angle_alpha 17.42
_cell_angle_beta 17.42
_cell_angle_gamma 17.42
loop_
_space_group_symop_operation_xyz
'x,y,z'
loop_
_atom_site_label
_atom_site_fract_x
_atom_site_fract_y
_atom_site_fract_z
Ta1 0.000 0.000 0.000
Fe1 0.500 0.500 0.500
Os1 0.244 0.244 0.244
Os2 0.756 0.756 0.756



(4)
# CdHgTe2 (PBE-GGA, relaxed)
# * M_tot: 0.00 μB per atom
# * energy above the most stable polymorph in this dataset: 9.7 kJ per mole of atoms
# * space group: C2/c
# * E_form (uncorrected): -4.9 kcal/mol of atoms
data_CdHgTe2
_space_group_name_H-M_alt 'P 1'
_space_group_IT_number 1
_cell_length_a 9.370
_cell_length_b 9.370
_cell_length_c 12.855
_cell_angle_alpha 90.47
_cell_angle_beta 90.47
_cell_angle_gamma 87.33
loop_
_space_group_symop_operation_xyz
'x,y,z'
loop_
_atom_site_label
_atom_site_fract_x
_atom_site_fract_y
_atom_site_fract_z
Cd1 0.012 0.724 0.861
Cd2 0.016 0.701 0.511
Cd3 0.276 0.988 0.639
Cd4 0.299 0.984 0.989
Cd5 0.701 0.016 0.011
Cd6 0.724 0.012 0.361
Cd7 0.984 0.299 0.489
Cd8 0.988 0.276 0.139
Hg1 0.006 0.746 0.137
Hg2 0.254 0.994 0.363
Hg3 0.298 0.455 0.305
Hg4 0.455 0.298 0.805
Hg5 0.545 0.702 0.195
Hg6 0.702 0.545 0.695
Hg7 0.746 0.006 0.637
Hg8 0.994 0.254 0.863
Te1 0.007 0.501 0.297
Te2 0.011 0.989 0.750
Te3 0.236 0.276 0.003
Te4 0.248 0.697 0.006
Te5 0.276 0.236 0.503
Te6 0.303 0.752 0.494
Te7 0.426 0.574 0.750
Te8 0.499 0.993 0.203
Te9 0.501 0.007 0.797
Te10 0.574 0.426 0.250
Te11 0.697 0.248 0.506
Te12 0.724 0.764 0.497
Te13 0.752 0.303 0.994
Te14 0.764 0.724 0.997
Te15 0.989 0.011 0.250
Te16 0.993 0.499 0.703



(5)
# NaBe2N3F8 (PBE-GGA, relaxed)
# * M_tot: 0.43 μB per atom
# * space group: P-3m1
# * E_form (uncorrected): -24.7 kcal/mol of atoms
data_NaBe2N3F8
_space_group_name_H-M_alt 'P 1'
_space_group_IT_number 1
_cell_length_a 5.701
_cell_length_b 5.701
_cell_length_c 7.640
_cell_angle_alpha 90.00
_cell_angle_beta 90.00
_cell_angle_gamma 120.00
loop_
_space_group_symop_operation_xyz
'x,y,z'
loop_
_atom_site_label
_atom_site_fract_x
_atom_site_fract_y
_atom_site_fract_z
Na1 0.000 0.000 0.000
Be1 0.333 0.667 0.816
Be2 0.667 0.333 0.184
N1 0.000 0.000 0.500
N2 0.333 0.667 0.217
N3 0.667 0.333 0.783
F1 0.184 0.368 0.815
F2 0.184 0.816 0.815
F3 0.333 0.667 0.387
F4 0.368 0.184 0.185
F5 0.632 0.816 0.815
F6 0.667 0.333 0.613
F7 0.816 0.184 0.185
F8 0.816 0.632 0.185



(6)
# ThPaCd (PBE-GGA, relaxed)
# * M_tot: 0.34 μB per atom
# * energy above the most stable polymorph in this dataset: 15.6 kJ per mole of atoms
# * formation energy: 0.269 eV/atom
# * space group: P3m1
data_ThPaCd
_space_group_name_H-M_alt 'P 1'
_space_group_IT_number 1
_cell_length_a 5.411
_cell_length_b 5.411
_cell_length_c 3.191
_cell_angle_alpha 90.00
_cell_angle_beta 90.00
_cell_angle_gamma 120.00
loop_
_space_group_symop_operation_xyz
'x,y,z'
loop_
_atom_site_label
_atom_site_fract_x
_atom_site_fract_y
_atom_site_fract_z
Th1 0.000 0.000 0.000
Pa1 0.667 0.333 0.577
Cd1 0.333 0.667 0.299